Record 1
9
Lattice="6.479 -0.031 0.015 3.213 5.603 -0.009 -0.028 0.038 4.647" Properties=species:S:1:pos:R:3 comment="RbAgTeF6 PBE-GGA optimized geometry" formation_energy_uncorrected_ev_per_atom=-2.074 dos_ef_per_ev_atom=0.000 total_magnetization_mub_per_fu=0.00 mass_density_g_cm3=4.3 e_tot_ev_per_atom=-4.095 pbc="T T T"
F 2.655 0.479 3.469
F 4.430 0.128 1.576
F 4.106 3.776 1.542
F 2.287 3.066 3.454
F 4.717 2.103 3.455
F 1.114 1.716 1.553
Rb 6.442 0.008 4.158
Ag 6.447 3.728 1.881
Te 3.217 1.873 2.181

=====

Record 2
4
Lattice="1.963 -8.024 1.233 4.186 -7.152 -1.033 4.748 -6.526 2.150" Properties=species:S:1:pos:R:3 comment="Te2RuC PBE-GGA optimized geometry" formation_energy_uncorrected_ev_per_atom=1.497 dos_ef_per_ev_atom=0.857 total_magnetization_mub_per_fu=0.00 mass_density_g_cm3=8.0 e_tot_ev_per_atom=-4.698 pbc="T T T"
Te 9.771 -19.459 2.106
Te 1.126 -2.243 0.243
C 5.448 -10.851 1.175
Ru 0.000 0.000 0.000